A plane-wave DFT calculation with PBE was carried out for crystalline Ta2Nb5 at its relaxed geometry.

Cell lengths 3.3098, 3.3098, 23.2725 Å; angles 90.00, 90.00, 90.00 degrees
Closest atoms and distances in Å follow each position.
Space group I4/mmm (No. 139)
Asymmetric unit:
Ta (0.0000, 0.0000, 0.2140) [4 per cell]  4 Nb 2.87, 4 Ta 2.88
Nb (0.0000, 0.0000, 0.0714) [4 per cell]  8 Nb 2.87
Nb (0.0000, 0.0000, 0.3575) [4 per cell]  4 Nb 2.87, 4 Ta 2.87
Nb (0.0000, 0.0000, 0.5000) [2 per cell]  8 Nb 2.87

Summary:
Its volume is 18.21 A^3/atom. The total energy comes out at -10.600 eV per atom. As for the energy of formation: -0.49 kcal/mol of atoms. The energy above the lowest structure with this stoichiometry comes out at 0.00 eV/f.u. For the density, the calculation gives 10.8 g/cm³.

=====

A plane-wave DFT calculation with PBE was carried out for crystalline Ta4Nb at its relaxed geometry.

Cell lengths 6.0073, 6.0073, 5.3289 Å; angles 90.00, 90.00, 90.00 degrees
Closest atoms and distances in Å follow each position.
Space group P4/mcc (No. 124)
Asymmetric unit:
Ta (0.1261, 0.3069, 0.0000) [8 per cell]  7 Ta 2.77-3.08, 2 Nb 2.86
Nb (0.5000, 0.5000, 0.2500) [2 per cell]  2 Nb 2.66, 8 Ta 2.86

Summary:
Its volume is 19.23 A^3/atom. The total energy comes out at -10.990 eV per atom. As for the energy of formation: 11.67 kcal/mol of atoms. The energy above the lowest structure with this stoichiometry comes out at 0.00 eV/f.u. For the density, the calculation gives 14.1 g/cm³.

=====

A plane-wave DFT calculation with PBE was carried out for crystalline TaNb5 at its relaxed geometry.

Cell lengths 4.7222, 13.9875, 3.3119 Å; angles 90.00, 90.00, 90.00 degrees
Closest atoms and distances in Å follow each position.
Space group Cmmm (No. 65)
Asymmetric unit:
Ta (0.0000, 0.0000, 0.0000) [2 per cell]  8 Nb 2.88
Nb (0.0000, 0.1680, 0.5000) [4 per cell]  6 Nb 2.86-2.88, 2 Ta 2.88
Nb (0.0000, 0.3348, 0.0000) [4 per cell]  8 Nb 2.84-2.88
Nb (0.0000, 0.5000, 0.5000) [2 per cell]  4 Nb 2.84, 4 Ta 2.88

Summary:
Its volume is 18.23 A^3/atom. The total energy comes out at -10.387 eV per atom. As for the energy of formation: -0.46 kcal/mol of atoms. For the density, the calculation gives 9.8 g/cm³.

=====

A plane-wave DFT calculation with PBE was carried out for crystalline TaNb3 at its relaxed geometry.

Cell lengths 4.6761, 10.1774, 6.4028 Å; angles 90.00, 90.00, 90.00 degrees
Closest atoms and distances in Å follow each position.
Space group Cmcm (No. 63)
Asymmetric unit:
Ta (0.0000, 0.1442, 0.2500) [4 per cell]  7 Nb 2.77-2.83
Nb (0.0000, 0.1276, 0.7500) [4 per cell]  1 Ta 2.77, 6 Nb 2.84-2.90
Nb (0.0000, 0.3657, 0.5016) [8 per cell]  4 Nb 2.73-2.90, 3 Ta 2.77-2.83

Summary:
Its volume is 19.04 A^3/atom. The total energy comes out at -10.176 eV per atom. As for the energy of formation: 7.82 kcal/mol of atoms. The energy above the lowest structure with this stoichiometry comes out at 1.43 eV/f.u. For the density, the calculation gives 10.0 g/cm³.

=====

A plane-wave DFT calculation with PBE was carried out for crystalline Ta8Nb at its relaxed geometry.

Cell lengths 9.9378, 9.9378, 3.3206 Å; angles 90.00, 90.00, 90.00 degrees
Closest atoms and distances in Å follow each position.
Space group I4/mmm (No. 139)
Asymmetric unit:
Ta (0.0000, 0.3341, 0.0000) [8 per cell]  8 Ta 2.86-2.88
Ta (0.1665, 0.1665, 0.5000) [8 per cell]  2 Nb 2.87, 6 Ta 2.88
Nb (0.0000, 0.0000, 0.0000) [2 per cell]  8 Ta 2.87

Summary:
Its volume is 18.22 A^3/atom. The total energy comes out at -11.657 eV per atom. As for the energy of formation: -0.05 kcal/mol of atoms. For the density, the calculation gives 15.6 g/cm³.

=====

A plane-wave DFT calculation with PBE was carried out for crystalline Ta7Nb at its relaxed geometry.

Cell lengths 4.6792, 4.6792, 13.3366 Å; angles 90.00, 90.00, 90.00 degrees
Closest atoms and distances in Å follow each position.
Space group I4/mmm (No. 139)
Asymmetric unit:
Ta (0.0000, 0.0000, 0.0000) [2 per cell]  8 Ta 2.87
Ta (0.0000, 0.0000, 0.2488) [4 per cell]  8 Ta 2.87-2.88
Ta (0.0000, 0.5000, 0.1247) [8 per cell]  6 Ta 2.87-2.88, 2 Nb 2.87
Nb (0.0000, 0.0000, 0.5000) [2 per cell]  8 Ta 2.87

Summary:
Its volume is 18.25 A^3/atom. The total energy comes out at -11.632 eV per atom. As for the energy of formation: -0.06 kcal/mol of atoms. For the density, the calculation gives 15.5 g/cm³.

=====

A plane-wave DFT calculation with PBE was carried out for crystalline TaNb3 at its relaxed geometry.

Cell lengths 3.8895, 3.8895, 9.8016 Å; angles 90.00, 90.00, 90.00 degrees
Closest atoms and distances in Å follow each position.
Space group I4/mmm (No. 139)
Asymmetric unit:
Ta (0.0000, 0.0000, 0.0000) [2 per cell]  4 Nb 2.75
Nb (0.0000, 0.0000, 0.5000) [2 per cell]  4 Ta 2.75
Nb (0.0000, 0.5000, 0.2500) [4 per cell]  4 Nb 2.75

Summary:
Its volume is 18.54 A^3/atom. The total energy comes out at -10.384 eV per atom. As for the energy of formation: 3.03 kcal/mol of atoms. The energy above the lowest structure with this stoichiometry comes out at 0.59 eV/f.u. For the density, the calculation gives 10.3 g/cm³.

=====

A plane-wave DFT calculation with PBE was carried out for crystalline TaNb3 at its relaxed geometry.

Cell lengths 2.7011, 9.9464, 5.5523 Å; angles 90.00, 90.00, 90.00 degrees
Closest atoms and distances in Å follow each position.
Space group Imm2 (No. 44)
Asymmetric unit:
Ta (0.0000, 0.0000, 0.0000) [2 per cell]  2 Ta 2.70, 2 Nb 2.90
Nb (0.0000, 0.2507, 0.7325) [4 per cell]  3 Nb 2.70-2.89, 1 Ta 2.90
Nb (0.0000, 0.5000, 0.9998) [2 per cell]  4 Nb 2.70-2.89

Summary:
Its volume is 18.65 A^3/atom. The total energy comes out at -10.331 eV per atom. As for the energy of formation: 4.26 kcal/mol of atoms. The energy above the lowest structure with this stoichiometry comes out at 0.81 eV/f.u. For the density, the calculation gives 10.2 g/cm³.

=====

A plane-wave DFT calculation with PBE was carried out for crystalline TaNb5 at its relaxed geometry.

Cell lengths 4.6699, 9.9398, 4.7077 Å; angles 90.00, 90.00, 90.00 degrees
Closest atoms and distances in Å follow each position.
Space group Cmmm (No. 65)
Asymmetric unit:
Ta (0.0000, 0.0000, 0.0000) [2 per cell]  8 Nb 2.87-2.88
Nb (0.0000, 0.1663, 0.5000) [4 per cell]  6 Nb 2.86-2.87, 2 Ta 2.88
Nb (0.0000, 0.3319, 0.0000) [4 per cell]  6 Nb 2.85-2.89, 2 Ta 2.87
Nb (0.0000, 0.5000, 0.5000) [2 per cell]  8 Nb 2.86-2.89

Summary:
Its volume is 18.21 A^3/atom. The total energy comes out at -10.387 eV per atom. As for the energy of formation: -0.45 kcal/mol of atoms. For the density, the calculation gives 9.8 g/cm³.

=====

A plane-wave DFT calculation with PBE was carried out for crystalline Ta3Nb7 at its relaxed geometry.

Cell lengths 9.0229, 9.0229, 5.4390 Å; angles 90.00, 90.00, 120.00 degrees
Closest atoms and distances in Å follow each position.
Space group P6_3/mmc (No. 194)
Asymmetric unit:
Ta (0.2180, 0.4359, 0.2500) [6 per cell]  6 Nb 2.68-2.96
Nb (0.0000, 0.5000, 0.0000) [6 per cell]  4 Ta 2.68, 4 Nb 2.72-2.94
Nb (0.1213, 0.2425, 0.7500) [6 per cell]  4 Ta 2.96-3.11, 2 Nb 3.28
Nb (0.3333, 0.6667, 0.7500) [2 per cell]  6 Nb 2.94, 6 Ta 3.26

Summary:
Its volume is 19.17 A^3/atom. The total energy comes out at -10.358 eV per atom. As for the energy of formation: 5.70 kcal/mol of atoms. The energy above the lowest structure with this stoichiometry comes out at 2.73 eV/f.u. For the density, the calculation gives 10.3 g/cm³.

=====

A plane-wave DFT calculation with PBE was carried out for crystalline TaNb2 at its relaxed geometry.

Cell lengths 3.3067, 3.3067, 9.9972 Å; angles 90.00, 90.00, 90.00 degrees
Closest atoms and distances in Å follow each position.
Space group I4/mmm (No. 139)
Asymmetric unit:
Ta (0.0000, 0.0000, 0.0000) [2 per cell]  8 Nb 2.88
Nb (0.0000, 0.0000, 0.3323) [4 per cell]  4 Nb 2.86, 4 Ta 2.88

Summary:
Its volume is 18.22 A^3/atom. The total energy comes out at -10.683 eV per atom. As for the energy of formation: -0.45 kcal/mol of atoms. For the density, the calculation gives 11.1 g/cm³.

=====

A plane-wave DFT calculation with PBE was carried out for crystalline Ta3Nb5 at its relaxed geometry.

Cell lengths 3.3129, 3.3129, 13.2617 Å; angles 90.00, 90.00, 90.00 degrees
Closest atoms and distances in Å follow each position.
Space group P4/mmm (No. 123)
Asymmetric unit:
Ta (0.0000, 0.0000, 0.0000) [1 per cell]  8 Nb 2.87
Ta (0.5000, 0.5000, 0.3753) [2 per cell]  8 Nb 2.87-2.88
Nb (0.0000, 0.0000, 0.2494) [2 per cell]  4 Nb 2.86, 4 Ta 2.88
Nb (0.0000, 0.0000, 0.5000) [1 per cell]  8 Ta 2.87
Nb (0.5000, 0.5000, 0.1256) [2 per cell]  4 Nb 2.86, 4 Ta 2.87

Summary:
Its volume is 18.19 A^3/atom. The total energy comes out at -10.755 eV per atom. As for the energy of formation: -0.38 kcal/mol of atoms. The energy above the lowest structure with this stoichiometry comes out at 0.00 eV/f.u. For the density, the calculation gives 11.5 g/cm³.

=====

Copy entry 7 word for word.
A plane-wave DFT calculation with PBE was carried out for crystalline TaNb3 at its relaxed geometry.

Cell lengths 3.8895, 3.8895, 9.8016 Å; angles 90.00, 90.00, 90.00 degrees
Closest atoms and distances in Å follow each position.
Space group I4/mmm (No. 139)
Asymmetric unit:
Ta (0.0000, 0.0000, 0.0000) [2 per cell]  4 Nb 2.75
Nb (0.0000, 0.0000, 0.5000) [2 per cell]  4 Ta 2.75
Nb (0.0000, 0.5000, 0.2500) [4 per cell]  4 Nb 2.75

Summary:
Its volume is 18.54 A^3/atom. The total energy comes out at -10.384 eV per atom. As for the energy of formation: 3.03 kcal/mol of atoms. The energy above the lowest structure with this stoichiometry comes out at 0.59 eV/f.u. For the density, the calculation gives 10.3 g/cm³.

=====

> Among the records above, which one has the highest energy of formation?

Ta4Nb